Here is a relaxed structure of Tb5CeEr2 from the Alexandria database. Energies are from PBE.

Its calculated volume is 503 Å³ per cell. The value obtained for the density of states at the Fermi level is 1.549 states/eV/atom. The energy of formation from the pure elements comes out at 0.04 eV/atom. The value obtained for the total energy is -4.74 eV/atom.

Cell lengths 5.006, 7.087, 14.179 Å; angles 90.00, 90.00, 90.00 degrees
Each line ends with the local moment (μB).
Sites, in units of the cell vectors:
Er 0.500 0.745 0.876  0.03
Er 0.500 0.255 0.124  0.03
Er 0.500 0.755 0.376  0.03
Er 0.500 0.245 0.624  0.03
Ce 0.000 0.000 0.500  0.72
Ce 0.000 0.500 0.000  0.72
Tb 0.000 0.498 0.750  -0.01
Tb 0.000 0.500 0.500  -0.01
Tb 0.000 0.502 0.250  -0.01
Tb 0.000 0.000 0.000  -0.01
Tb 0.500 0.248 0.376  0.02
Tb 0.500 0.252 0.876  0.02
Tb 0.500 0.748 0.124  0.02
Tb 0.000 0.002 0.250  -0.01
Tb 0.500 0.752 0.624  0.02
Tb 0.000 0.998 0.750  -0.01

=====

Here is a relaxed structure of Tb4Ce2Er5 from the Alexandria database. Energies are from PBE.

Its calculated volume is 344 Å³ per cell. The value obtained for the density of states at the Fermi level is 1.946 states/eV/atom. The energy of formation from the pure elements comes out at 0.10 eV/atom. The value obtained for the total energy is -4.73 eV/atom.

Cell lengths 3.476, 11.605, 9.351 Å; angles 93.20, 111.80, 98.65 degrees
Each line ends with the local moment (μB).
Sites, in units of the cell vectors:
Er 0.613 0.925 0.652  0.04
Er 0.941 0.528 0.177  0.01
Er 0.500 0.000 0.000  -0.03
Er 0.387 0.075 0.348  0.04
Er 0.059 0.472 0.823  0.01
Tb 0.812 0.738 0.942  0.00
Tb 0.188 0.262 0.058  0.00
Tb 0.703 0.801 0.302  0.01
Tb 0.297 0.199 0.698  0.01
Ce 0.623 0.376 0.435  0.62
Ce 0.377 0.624 0.565  0.62

=====

Here is a relaxed structure of TbCeEr6 from the Alexandria database. Energies are from PBE.

Its calculated volume is 250 Å³ per cell. The value obtained for the density of states at the Fermi level is 2.063 states/eV/atom. The energy of formation from the pure elements comes out at 0.23 eV/atom. Its energy above the most stable polymorph in this dataset is 0.1830 eV per atom. The value obtained for the total energy is -4.52 eV/atom.

Cell lengths 6.700, 6.427, 6.840 Å; angles 103.22, 61.58, 89.20 degrees
Each line ends with the local moment (μB).
Sites, in units of the cell vectors:
Er 0.548 0.749 0.000  0.08
Er 0.452 0.251 0.000  0.08
Er 0.428 0.234 0.480  0.06
Er 0.904 0.271 0.524  0.08
Er 0.096 0.729 0.476  0.08
Er 0.572 0.766 0.520  0.06
Ce 0.000 0.500 0.000  0.78
Tb 0.000 0.000 0.000  0.09

=====

Here is a relaxed structure of TbCeEr3 from the Alexandria database. Energies are from PBE.

Its calculated volume is 629 Å³ per cell. The value obtained for the density of states at the Fermi level is 1.829 states/eV/atom. The energy of formation from the pure elements comes out at 0.16 eV/atom. Its energy above the most stable polymorph in this dataset is 0.0000 eV per atom. The value obtained for the total energy is -4.69 eV/atom.

Cell lengths 9.318, 9.355, 7.215 Å; angles 90.00, 90.00, 90.00 degrees
Each line ends with the local moment (μB).
Sites, in units of the cell vectors:
Er 0.328 0.675 0.250  0.04
Er 0.172 0.175 0.750  0.04
Er 0.672 0.325 0.750  0.04
Er 0.828 0.825 0.250  0.04
Er 0.375 0.376 0.497  0.07
Er 0.375 0.376 0.003  0.07
Er 0.875 0.124 0.003  0.07
Er 0.625 0.624 0.503  0.07
Er 0.125 0.876 0.997  0.07
Er 0.125 0.876 0.503  0.07
Er 0.625 0.624 0.997  0.07
Er 0.875 0.124 0.497  0.07
Tb 0.000 0.500 0.000  0.08
Tb 0.500 0.000 0.500  0.08
Tb 0.500 0.000 0.000  0.08
Tb 0.000 0.500 0.500  0.08
Ce 0.324 0.674 0.750  0.72
Ce 0.176 0.174 0.250  0.72
Ce 0.676 0.326 0.250  0.72
Ce 0.824 0.826 0.750  0.72

=====

Here is a relaxed structure of Tb6CeEr from the Alexandria database. Energies are from PBE.

Its calculated volume is 256 Å³ per cell. The value obtained for the density of states at the Fermi level is 2.090 states/eV/atom. The energy of formation from the pure elements comes out at 0.22 eV/atom. Its energy above the most stable polymorph in this dataset is 0.1739 eV per atom. The value obtained for the total energy is -4.57 eV/atom.

Cell lengths 6.763, 6.489, 6.911 Å; angles 77.62, 60.36, 89.32 degrees
Each line ends with the local moment (μB).
Sites, in units of the cell vectors:
Tb 0.095 0.767 0.478  0.04
Tb 0.905 0.233 0.522  0.04
Tb 0.576 0.730 0.521  0.05
Tb 0.447 0.250 0.001  0.03
Tb 0.553 0.750 0.999  0.03
Tb 0.424 0.270 0.479  0.05
Er 0.000 0.000 0.000  0.08
Ce 0.000 0.500 0.000  0.76

=====

Here is a relaxed structure of Tb5Ce2Er2 from the Alexandria database. Energies are from PBE.

Its calculated volume is 283 Å³ per cell. The value obtained for the density of states at the Fermi level is 1.896 states/eV/atom. The energy of formation from the pure elements comes out at 0.12 eV/atom. The value obtained for the total energy is -4.79 eV/atom.

Cell lengths 5.572, 8.752, 8.865 Å; angles 44.20, 71.68, 71.44 degrees
Sites, in units of the cell vectors:
Tb 0.322 0.005 0.352
Tb 0.000 0.000 0.000
Tb 0.793 0.361 0.052
Tb 0.678 0.995 0.648
Tb 0.207 0.639 0.948
Ce 0.923 0.667 0.486
Ce 0.077 0.333 0.514
Er 0.437 0.350 0.775
Er 0.563 0.650 0.225

=====

- Which of these has the highest calculated volume?
  TbCeEr3